Entry 1:
{"formula": "Dy3Se", "functional": "GGA-PBE", "state": "optimized geometry", "lattice": [[3.616, 0.000, 0.000], [0.000, 3.647, 0.000], [0.000, 0.000, 9.211]], "species": ["Dy", "Dy", "Dy", "Se"], "fractional_positions": [[0.000, 0.000, 0.000], [0.000, 0.500, 0.397], [0.500, 0.500, 0.735], [0.500, 0.000, 0.253]], "space_group": "Pmm2 (25)"}

Entry 2:
{"formula": "Dy2Se", "functional": "GGA-PBE", "state": "optimized geometry", "lattice": [[5.365, 0.000, 0.000], [-2.682, 4.646, 0.000], [0.000, 0.000, 9.513]], "species": ["Dy", "Dy", "Dy", "Dy", "Dy", "Dy", "Se", "Se", "Se"], "fractional_positions": [[0.000, 0.000, 0.181], [0.000, 0.000, 0.819], [0.333, 0.667, 0.379], [0.333, 0.667, 0.962], [0.667, 0.333, 0.038], [0.667, 0.333, 0.621], [0.000, 0.000, 0.500], [0.333, 0.667, 0.668], [0.667, 0.333, 0.332]], "space_group": "P-3m1 (164)"}

Entry 3:
{"formula": "DySe", "functional": "GGA-PBE", "state": "optimized geometry", "lattice": [[4.150, 0.000, 0.000], [-2.075, 3.594, 0.000], [0.000, 0.000, 8.470]], "species": ["Dy", "Dy", "Se", "Se"], "fractional_positions": [[0.333, 0.667, 0.000], [0.667, 0.333, 0.500], [0.333, 0.667, 0.327], [0.667, 0.333, 0.827]], "space_group": "P6_3mc (186)"}

Number 1: formation energy from raw total energies -0.60 eV per atom, density 7.74 g cm⁻³. Number 2: formation energy from raw total energies -0.85 eV per atom, density 8.49 g cm⁻³. Number 3: formation energy from raw total energies -1.28 eV per atom, density 6.35 g cm⁻³.